{"formula": "Na4Dy2Cl9", "functional": "PBE", "state": "optimized geometry", "e_form_raw_ev_per_atom": -1.97, "lattice_angstrom": [[-5.738, -3.600, -2.106], [0.203, -3.818, -5.977], [5.798, -14.898, 9.755]], "species": ["Na", "Na", "Na", "Na", "Na", "Na", "Na", "Na", "Dy", "Dy", "Dy", "Dy", "Cl", "Cl", "Cl", "Cl", "Cl", "Cl", "Cl", "Cl", "Cl", "Cl", "Cl", "Cl", "Cl", "Cl", "Cl", "Cl", "Cl", "Cl"], "fractional_positions": [[0.333, 0.334, 0.981], [0.334, 0.334, 0.482], [0.667, 0.666, 0.019], [0.332, 0.334, 0.178], [0.666, 0.666, 0.518], [0.666, 0.667, 0.323], [0.334, 0.333, 0.677], [0.668, 0.666, 0.822], [0.999, 0.002, 0.341], [0.000, 0.999, 0.159], [0.001, 0.998, 0.659], [0.000, 0.001, 0.841], [0.002, 0.305, 0.750], [0.306, 0.693, 0.750], [0.694, 0.000, 0.750], [0.998, 0.695, 0.250], [0.694, 0.307, 0.250], [0.306, 0.000, 0.250], [0.686, 0.976, 0.412], [0.974, 0.340, 0.413], [0.338, 0.688, 0.412], [0.660, 0.027, 0.088], [0.313, 0.659, 0.088], [0.027, 0.311, 0.088], [0.314, 0.024, 0.588], [0.026, 0.660, 0.587], [0.662, 0.312, 0.588], [0.340, 0.973, 0.912], [0.687, 0.341, 0.912], [0.973, 0.689, 0.912]]}

---

{"formula": "ThAlFe", "functional": "PBE", "state": "optimized geometry", "ef_kj_per_mol_atoms": -30.44, "lattice_angstrom": [[-2.114, -3.292, -4.806], [5.412, -1.024, -1.680], [-0.039, -5.936, 3.492]], "species": ["Th", "Th", "Th", "Th", "Al", "Al", "Al", "Al", "Fe", "Fe", "Fe", "Fe"], "fractional_positions": [[0.784, 0.644, 0.396], [0.216, 0.356, 0.604], [0.284, 0.856, 0.896], [0.716, 0.144, 0.104], [0.785, 0.634, 0.868], [0.215, 0.366, 0.132], [0.715, 0.134, 0.632], [0.285, 0.866, 0.368], [0.978, 0.145, 0.348], [0.478, 0.355, 0.848], [0.022, 0.855, 0.652], [0.522, 0.645, 0.152]]}

---

{"formula": "Li2PrZn2Ag2", "functional": "PBE", "state": "optimized geometry", "ef_kj_per_mol_atoms": -20.32, "lattice_angstrom": [[-1.375, -3.700, -2.343], [3.949, -0.105, 2.345], [-5.955, -1.196, 5.382]], "species": ["Li", "Li", "Pr", "Zn", "Zn", "Ag", "Ag"], "fractional_positions": [[0.140, 0.281, 0.419], [0.860, 0.719, 0.581], [0.000, 0.000, 0.000], [0.576, 0.152, 0.730], [0.424, 0.848, 0.270], [0.747, 0.495, 0.240], [0.253, 0.505, 0.760]]}

---

no.,spin magnetization (μB/atom)
1,0.07
2,0.00
3,0.00